Compound: TeWO3
Source: Alexandria via LeMat-Bulk
Functional: PBE+U
Structure: optimized geometry

a = 4.030 Å, b = 4.030 Å, c = 4.030 Å
α = 90.00°, β = 90.00°, γ = 90.00°
Atoms (fractional coordinates):
W1 0.000 0.000 0.000
Te1 0.500 0.500 0.500
O1 0.500 0.000 0.000
O2 0.000 0.000 0.500
O3 0.000 0.500 0.000

Output
ρ = 9.1 Mg/m³
magnetization = 0.0 μB/f.u.
total energy = -28.88 eV/cell
DOS(E_F) = 0.857 states/eV per atom